(1)
DFT (PBE) results for crystalline Li2NdSc2Tl2 at its relaxed geometry.

Cell lengths 4.7619, 4.7619, 9.0445 Å; angles 74.74, 74.74, 60.00 degrees
With the nearest neighbours (Å) after each atom.
Atoms (fractional coordinates):
Li 0.5783 0.5783 0.2651  3 Tl 2.76, 3 Sc 2.98
Li 0.4217 0.4217 0.7349  3 Tl 2.76, 3 Sc 2.98
Sc 0.1328 0.1328 0.6015  3 Li 2.98, 4 Tl 3.08-3.14, 3 Sc 3.26
Sc 0.8672 0.8672 0.3985  3 Li 2.98, 4 Tl 3.08-3.14, 3 Sc 3.26
Tl 0.7457 0.7457 0.7628  3 Li 2.76, 3 Sc 3.08
Tl 0.2543 0.2543 0.2372  3 Li 2.76, 3 Sc 3.08
Nd 0.0000 0.0000 0.0000  6 Tl 3.43, 2 Sc 3.43, 6 Li 3.57

Results
Space-group type: R-3m
Energy of formation: -0.18 eV/atom
N(E_F): 6.4 states/eV per cell

***

(2)
DFT (PBE) results for crystalline LiNdSc2Tl4 at its relaxed geometry.

Cell lengths 5.1333, 5.1333, 9.1930 Å; angles 73.79, 73.79, 60.00 degrees
With the nearest neighbours (Å) after each atom.
Atoms (fractional coordinates):
Sc 0.2463 0.2463 0.2612  7 Tl 3.05-3.16
Sc 0.7537 0.7537 0.7388  7 Tl 3.05-3.16
Tl 0.1296 0.1296 0.6113  4 Sc 3.05-3.16, 3 Li 3.12, 1 Nd 3.38
Tl 0.8704 0.8704 0.3887  4 Sc 3.05-3.16, 3 Li 3.12, 1 Nd 3.38
Tl 0.6181 0.6181 0.1457  1 Li 3.08, 3 Sc 3.13, 3 Nd 3.22
Tl 0.3819 0.3819 0.8543  1 Li 3.08, 3 Sc 3.13, 3 Nd 3.22
Nd 0.0000 0.0000 0.0000  8 Tl 3.22-3.38
Li 0.5000 0.5000 0.5000  8 Tl 3.08-3.12

Results
Space-group type: R-3m
Energy of formation: -0.28 eV/atom
N(E_F): 4.7 states/eV per cell